First-principles (PBE-GGA) data for a relaxed BaSn2W crystal, as listed in Alexandria via LeMat-Bulk.

Structure (CIF):
```
data_BaSn2W
_symmetry_space_group_name_H-M 'F m -3 m'
_symmetry_Int_Tables_number 225
_symmetry_space_group_name_Hall '-F 4 2 3'
_cell_length_a 7.469
_cell_length_b 7.469
_cell_length_c 7.469
_cell_angle_alpha 90.00
_cell_angle_beta 90.00
_cell_angle_gamma 90.00
loop_
_atom_site_label
_atom_site_fract_x
_atom_site_fract_y
_atom_site_fract_z
Ba1 0.000 0.000 0.000
Sn1 0.250 0.250 0.250
W1 0.000 0.000 0.500
```

## Properties
distance to the lowest polymorph of the same formula = 14.96 kJ per mole of atoms

---

First-principles (PBE-GGA) data for a relaxed Ba3SnW crystal, as listed in Alexandria via LeMat-Bulk.

Structure (CIF):
```
data_Ba3SnW
_symmetry_space_group_name_H-M 'P m -3 m'
_symmetry_Int_Tables_number 221
_symmetry_space_group_name_Hall '-P 4 2 3'
_cell_length_a 5.926
_cell_length_b 5.926
_cell_length_c 5.926
_cell_angle_alpha 90.00
_cell_angle_beta 90.00
_cell_angle_gamma 90.00
loop_
_atom_site_label
_atom_site_fract_x
_atom_site_fract_y
_atom_site_fract_z
Ba1 0.000 0.000 0.500
Sn1 0.500 0.500 0.500
W1 0.000 0.000 0.000
```

## Properties
distance to the lowest polymorph of the same formula = 0.00 kJ per mole of atoms